# 1
RbLi2As | PBE-GGA | relaxed

abc: 4.4939 4.4939 17.9338
angles: 90.00 90.00 120.00
Last column: nearest neighbours and their distance in Å.
Space group R-3m (No. 166, hexagonal axes)
Asymmetric unit:
Rb 0.0000 0.0000 0.0000 [3 per cell]  2 Li 3.28
Li 0.0000 0.0000 0.1830 [6 per cell]  3 As 2.61, 3 Li 2.66
As 0.0000 0.0000 0.5000 [3 per cell]  6 Li 2.61

Calculated values
DOS at the Fermi energy	0.092	states/eV/f.u.
DFT formation energy	-0.5732	eV per atom
VASP energy	-35.213	eV/cell

# 2
Rb5LiAs2 | PBE-GGA | relaxed

abc: 6.0429 6.0429 28.8649
angles: 90.00 90.00 120.00
Last column: nearest neighbours and their distance in Å.
Space group R-3m (No. 166, hexagonal axes)
Asymmetric unit:
Rb 0.0000 0.0000 0.0000 [3 per cell]  8 Rb 3.77-3.79, 6 As 4.19
Rb 0.0000 0.0000 0.1307 [6 per cell]  3 Li 3.64, 4 Rb 3.77-4.06, 3 As 3.78
Rb 0.0000 0.0000 0.2823 [6 per cell]  4 As 3.59-3.79, 3 Rb 3.79
Li 0.0000 0.0000 0.5000 [3 per cell]  2 As 2.50
As 0.0000 0.0000 0.4135 [6 per cell]  1 Li 2.50

Calculated values
DOS at the Fermi energy	0.989	states/eV/f.u.
DFT formation energy	-0.3209	eV per atom
VASP energy	-55.854	eV/cell

# 3
RbLi3As | PBE-GGA | relaxed

abc: 5.1338 5.1338 5.1338
angles: 90.00 90.00 90.00
Last column: nearest neighbours and their distance in Å.
Space group Pm-3m (No. 221)
Asymmetric unit:
Rb 0.0000 0.0000 0.0000 [1 per cell]  6 Li 2.57
Li 0.0000 0.0000 0.5000 [3 per cell]  2 Rb 2.57
As 0.5000 0.5000 0.5000 [1 per cell]  12 Li 3.63

Calculated values
DOS at the Fermi energy	4.115	states/eV/f.u.
DFT formation energy	0.7892	eV per atom
VASP energy	-7.413	eV/cell
energy above the most stable polymorph in this dataset	1147	meV/atom

# 4
Rb2LiAsS4 | PBE-GGA | relaxed

abc: 5.8809 13.5879 24.3409
angles: 90.00 90.00 90.00
Last column: nearest neighbours and their distance in Å.
Space group Fddd (No. 70, origin choice 2)
Asymmetric unit:
Rb 0.1250 0.1250 0.3051 [16 per cell]  8 S 3.50-3.80
Li 0.1250 0.1250 0.1250 [8 per cell]  4 S 2.44
As 0.1250 0.1250 0.6250 [8 per cell]  4 S 2.19
S 0.0924 0.2802 0.8245 [32 per cell]  1 As 2.19, 1 Li 2.44

Calculated values
DOS at the Fermi energy	0.000	states/eV/f.u.
VASP energy	-253.936	eV/cell
energy relative to the elements, uncorrected	-6.734	eV/f.u.

# 5
Rb2LiAs2S6 | PBE-GGA | relaxed

abc: 14.2451 6.4216 7.7563
angles: 90.00 110.76 90.00
Last column: nearest neighbours and their distance in Å.
Space group C2/m (No. 12)
Asymmetric unit:
Rb 0.2185 0.0000 0.2049 [4 per cell]  7 S 3.43-3.53
Li 0.0000 0.0000 0.5000 [2 per cell]  4 S 2.54
As 0.0181 0.5000 0.1742 [4 per cell]  3 S 2.13-2.20
S 0.0651 0.2265 0.7860 [8 per cell]  1 As 2.20
S 0.1766 0.5000 0.3138 [4 per cell]  1 As 2.13

Calculated values
DOS at the Fermi energy	5.431	states/eV/f.u.
VASP energy	-87.540	eV/cell
energy relative to the elements, uncorrected	-5.857	eV/f.u.

# 6
Rb3LiAs2S6 | PBE-GGA | relaxed

abc: 7.2572 7.2572 8.7557
angles: 90.00 90.00 120.00
Last column: nearest neighbours and their distance in Å.
Space group P-3m1 (No. 164)
Asymmetric unit:
Rb 0.0000 0.0000 0.0000 [1 per cell]  6 S 3.40
Rb 0.3333 0.6667 0.6474 [2 per cell]  1 As 3.62, 9 S 3.65
Li 0.0000 0.0000 0.5000 [1 per cell]  6 S 2.70
As 0.3333 0.6667 0.2337 [2 per cell]  3 S 2.18
S 0.1668 0.3336 0.3053 [6 per cell]  1 As 2.18

Calculated values
DOS at the Fermi energy	3.504	states/eV/f.u.
VASP energy	-46.645	eV/cell
energy relative to the elements, uncorrected	-7.765	eV/f.u.

Look up the DOS at the Fermi energy of the fourth one. 0.000 states/eV/f.u.

DOS at the Fermi energy of number 1 (RbLi2As)? 0.092 states/eV/f.u.

Repeat the second record exactly.
Rb5LiAs2 | PBE-GGA | relaxed

abc: 6.0429 6.0429 28.8649
angles: 90.00 90.00 120.00
Last column: nearest neighbours and their distance in Å.
Space group R-3m (No. 166, hexagonal axes)
Asymmetric unit:
Rb 0.0000 0.0000 0.0000 [3 per cell]  8 Rb 3.77-3.79, 6 As 4.19
Rb 0.0000 0.0000 0.1307 [6 per cell]  3 Li 3.64, 4 Rb 3.77-4.06, 3 As 3.78
Rb 0.0000 0.0000 0.2823 [6 per cell]  4 As 3.59-3.79, 3 Rb 3.79
Li 0.0000 0.0000 0.5000 [3 per cell]  2 As 2.50
As 0.0000 0.0000 0.4135 [6 per cell]  1 Li 2.50

Calculated values
DOS at the Fermi energy	0.989	states/eV/f.u.
DFT formation energy	-0.3209	eV per atom
VASP energy	-55.854	eV/cell

What is the DOS at the Fermi energy in the fourth record? 0.000 states/eV/f.u.